<i>
Compound: Tb3Dy2Tl4
Source: Alexandria via LeMat-Bulk
Functional: PBE
Structure: relaxed

```
data_Tb3Dy2Tl4
_space_group_name_H-M_alt 'C m c e'
_space_group_IT_number 64
_space_group_name_Hall '-C 2ac 2'
_cell_length_a 7.209
_cell_length_b 15.751
_cell_length_c 9.517
_cell_angle_alpha 90.00
_cell_angle_beta 90.00
_cell_angle_gamma 90.00
loop_
_atom_site_label
_atom_site_type_symbol
_atom_site_fract_x
_atom_site_fract_y
_atom_site_fract_z
Tb1 Tb 0.000 0.000 0.000
Tb2 Tb 0.250 0.212 0.250
Dy1 Dy 0.000 0.108 0.560
Tl1 Tl 0.000 0.194 0.968
Tl2 Tl 0.250 0.014 0.250
```

Calculated values
Magnetic moment = 0.00 Bohr magnetons per cell
Calculated volume = 1080.7 Å³/cell

***

<ii>
Compound: Tb3Dy2Tl4
Source: Alexandria via LeMat-Bulk
Functional: PBE
Structure: relaxed

```
data_Tb3Dy2Tl4
_space_group_name_H-M_alt 'C 1 2/m 1'
_space_group_IT_number 12
_space_group_name_Hall '-C 2y'
_cell_length_a 16.847
_cell_length_b 4.846
_cell_length_c 6.690
_cell_angle_alpha 90.00
_cell_angle_beta 105.34
_cell_angle_gamma 90.00
loop_
_atom_site_label
_atom_site_type_symbol
_atom_site_fract_x
_atom_site_fract_y
_atom_site_fract_z
Tb1 Tb 0.000 0.000 0.000
Tb2 Tb 0.110 0.000 0.582
Dy1 Dy 0.171 0.500 0.068
Tl1 Tl 0.010 0.500 0.283
Tl2 Tl 0.247 0.500 0.663
```

Calculated values
Magnetic moment = 0.00 Bohr magnetons per cell
Calculated volume = 526.7 Å³/cell

***

Most favorable first, least favorable last: <ii>, <i>

***

<i>
Compound: Tb2Dy3Tl4
Source: Alexandria via LeMat-Bulk
Functional: PBE
Structure: relaxed

```
data_Tb2Dy3Tl4
_space_group_name_H-M_alt 'C m c e'
_space_group_IT_number 64
_space_group_name_Hall '-C 2ac 2'
_cell_length_a 7.193
_cell_length_b 15.950
_cell_length_c 9.363
_cell_angle_alpha 90.00
_cell_angle_beta 90.00
_cell_angle_gamma 90.00
loop_
_atom_site_label
_atom_site_type_symbol
_atom_site_fract_x
_atom_site_fract_y
_atom_site_fract_z
Tb1 Tb 0.000 0.110 0.067
Dy1 Dy 0.000 0.000 0.500
Dy2 Dy 0.250 0.212 0.750
Tl1 Tl 0.000 0.192 0.463
Tl2 Tl 0.250 0.018 0.750
```

Calculated values
Magnetic moment = 0.00 Bohr magnetons per cell
Calculated volume = 1074.2 Å³/cell

***

<ii>
Compound: Tb2Dy3Tl4
Source: Alexandria via LeMat-Bulk
Functional: PBE
Structure: relaxed

```
data_Tb2Dy3Tl4
_space_group_name_H-M_alt 'P -3 m 1'
_space_group_IT_number 164
_space_group_name_Hall '-P 3 2"'
_cell_length_a 5.2795
_cell_length_b 5.2795
_cell_length_c 10.5023
_cell_angle_alpha 90.00
_cell_angle_beta 90.00
_cell_angle_gamma 120.00
loop_
_atom_site_label
_atom_site_type_symbol
_atom_site_fract_x
_atom_site_fract_y
_atom_site_fract_z
Tb1 Tb 0.3333 0.6667 0.2762
Dy1 Dy 0.0000 0.0000 0.5000
Dy2 Dy 0.3333 0.6667 0.9250
Tl1 Tl 0.0000 0.0000 0.1544
Tl2 Tl 0.3333 0.6667 0.6028
```

Calculated values
Magnetic moment = 0.00 Bohr magnetons per cell
Calculated volume = 253.6 Å³/cell

***

Most favorable first, least favorable last: <ii>, <i>

***

<i>
Compound: TbDy3Tl
Source: Alexandria via LeMat-Bulk
Functional: PBE
Structure: relaxed

```
data_TbDy3Tl
_space_group_name_H-M_alt 'C 1 2/c 1'
_space_group_IT_number 15
_space_group_name_Hall '-C 2yc'
_cell_length_a 14.599
_cell_length_b 13.167
_cell_length_c 6.526
_cell_angle_alpha 90.00
_cell_angle_beta 104.01
_cell_angle_gamma 90.00
loop_
_atom_site_label
_atom_site_type_symbol
_atom_site_fract_x
_atom_site_fract_y
_atom_site_fract_z
Tb1 Tb 0.104 0.067 0.464
Dy1 Dy 0.097 0.191 0.979
Dy2 Dy 0.188 0.312 0.640
Dy3 Dy 0.197 0.428 0.141
Tl1 Tl 0.000 0.335 0.250
Tl2 Tl 0.000 0.416 0.750
```

Calculated values
Magnetic moment = 0.00 Bohr magnetons per cell
Calculated volume = 1217.2 Å³/cell

***

<ii>
Compound: TbDy3Tl
Source: Alexandria via LeMat-Bulk
Functional: PBE
Structure: relaxed

```
data_TbDy3Tl
_space_group_name_H-M_alt 'C m c m'
_space_group_IT_number 63
_space_group_name_Hall '-C 2c 2'
_cell_length_a 4.820
_cell_length_b 25.364
_cell_length_c 4.803
_cell_angle_alpha 90.00
_cell_angle_beta 90.00
_cell_angle_gamma 90.00
loop_
_atom_site_label
_atom_site_type_symbol
_atom_site_fract_x
_atom_site_fract_y
_atom_site_fract_z
Tb1 Tb 0.000 0.149 0.250
Dy1 Dy 0.000 0.048 0.750
Dy2 Dy 0.000 0.250 0.750
Dy3 Dy 0.000 0.448 0.750
Tl1 Tl 0.000 0.347 0.250
```

Calculated values
Magnetic moment = 0.00 Bohr magnetons per cell
Calculated volume = 587.2 Å³/cell

***

Most favorable first, least favorable last: <ii>, <i>

***

<i>
Compound: Tb3Dy4Tl
Source: Alexandria via LeMat-Bulk
Functional: PBE
Structure: relaxed

```
data_Tb3Dy4Tl
_space_group_name_H-M_alt 'P m n 21'
_space_group_IT_number 31
_space_group_name_Hall 'P 2ac -2'
_cell_length_a 11.196
_cell_length_b 7.041
_cell_length_c 6.181
_cell_angle_alpha 90.00
_cell_angle_beta 90.00
_cell_angle_gamma 90.00
loop_
_atom_site_label
_atom_site_type_symbol
_atom_site_fract_x
_atom_site_fract_y
_atom_site_fract_z
Tb1 Tb 0.000 0.130 0.000
Tb2 Tb 0.241 0.116 0.340
Dy1 Dy 0.000 0.374 0.534
Dy2 Dy 0.000 0.630 0.005
Dy3 Dy 0.238 0.626 0.358
Tl1 Tl 0.000 0.875 0.518
```

Calculated values
Magnetic moment = 0.00 Bohr magnetons per cell
Calculated volume = 487.2 Å³/cell

***

<ii>
Compound: Tb3Dy4Tl
Source: Alexandria via LeMat-Bulk
Functional: PBE
Structure: relaxed

```
data_Tb3Dy4Tl
_space_group_name_H-M_alt 'P 4/m m m'
_space_group_IT_number 123
_space_group_name_Hall '-P 4 2'
_cell_length_a 4.118
_cell_length_b 4.118
_cell_length_c 14.443
_cell_angle_alpha 90.00
_cell_angle_beta 90.00
_cell_angle_gamma 90.00
loop_
_atom_site_label
_atom_site_type_symbol
_atom_site_fract_x
_atom_site_fract_y
_atom_site_fract_z
Tb1 Tb 0.000 0.000 0.000
Tb2 Tb 0.000 0.000 0.251
Dy1 Dy 0.500 0.500 0.130
Dy2 Dy 0.500 0.500 0.386
Tl1 Tl 0.000 0.000 0.500
```

Calculated values
Magnetic moment = 0.00 Bohr magnetons per cell
Calculated volume = 244.9 Å³/cell

***

Most favorable first, least favorable last: <i>, <ii>

***

<i>
Compound: TbDy3Tl2
Source: Alexandria via LeMat-Bulk
Functional: PBE
Structure: relaxed

```
data_TbDy3Tl2
_space_group_name_H-M_alt 'P m c 21'
_space_group_IT_number 26
_space_group_name_Hall 'P 2c -2'
_cell_length_a 5.103
_cell_length_b 9.984
_cell_length_c 6.816
_cell_angle_alpha 90.00
_cell_angle_beta 90.00
_cell_angle_gamma 90.00
loop_
_atom_site_label
_atom_site_type_symbol
_atom_site_fract_x
_atom_site_fract_y
_atom_site_fract_z
Tb1 Tb 0.000 0.042 0.000
Dy1 Dy 0.000 0.314 0.627
Dy2 Dy 0.500 0.188 0.281
Dy3 Dy 0.500 0.458 0.908
Tl1 Tl 0.000 0.366 0.162
Tl2 Tl 0.500 0.134 0.745
```

Calculated values
Magnetic moment = 0.00 Bohr magnetons per cell
Calculated volume = 347.3 Å³/cell

***

<ii>
Compound: TbDy3Tl2
Source: Alexandria via LeMat-Bulk
Functional: PBE
Structure: relaxed

```
data_TbDy3Tl2
_space_group_name_H-M_alt 'C 1 2/m 1'
_space_group_IT_number 12
_space_group_name_Hall '-C 2y'
_cell_length_a 16.386
_cell_length_b 5.372
_cell_length_c 9.288
_cell_angle_alpha 90.00
_cell_angle_beta 119.92
_cell_angle_gamma 90.00
loop_
_atom_site_label
_atom_site_type_symbol
_atom_site_fract_x
_atom_site_fract_y
_atom_site_fract_z
Tb1 Tb 0.130 0.000 0.169
Dy1 Dy 0.058 0.000 0.715
Dy2 Dy 0.117 0.500 0.546
Dy3 Dy 0.193 0.500 0.994
Tl1 Tl 0.023 0.500 0.174
Tl2 Tl 0.223 0.000 0.592
```

Calculated values
Magnetic moment = 1.20 Bohr magnetons per cell
Calculated volume = 708.7 Å³/cell

***

Most favorable first, least favorable last: <i>, <ii>

***

<i>
Compound: TbDy5Tl6
Source: Alexandria via LeMat-Bulk
Functional: PBE
Structure: relaxed

```
data_TbDy5Tl6
_space_group_name_H-M_alt 'C 1 2/m 1'
_space_group_IT_number 12
_space_group_name_Hall '-C 2y'
_cell_length_a 9.759
_cell_length_b 11.228
_cell_length_c 6.600
_cell_angle_alpha 90.00
_cell_angle_beta 102.62
_cell_angle_gamma 90.00
loop_
_atom_site_label
_atom_site_type_symbol
_atom_site_fract_x
_atom_site_fract_y
_atom_site_fract_z
Tb1 Tb 0.000 0.000 0.000
Dy1 Dy 0.000 0.167 0.500
Dy2 Dy 0.000 0.334 0.000
Dy3 Dy 0.000 0.500 0.500
Tl1 Tl 0.250 0.000 0.749
Tl2 Tl 0.250 0.167 0.251
```

Calculated values
Magnetic moment = 0.00 Bohr magnetons per cell
Calculated volume = 705.8 Å³/cell

***

<ii>
Compound: TbDy5Tl6
Source: Alexandria via LeMat-Bulk
Functional: PBE
Structure: relaxed

```
data_TbDy5Tl6
_space_group_name_H-M_alt 'C 1 2/m 1'
_space_group_IT_number 12
_space_group_name_Hall '-C 2y'
_cell_length_a 9.258
_cell_length_b 16.150
_cell_length_c 5.368
_cell_angle_alpha 90.00
_cell_angle_beta 125.24
_cell_angle_gamma 90.00
loop_
_atom_site_label
_atom_site_type_symbol
_atom_site_fract_x
_atom_site_fract_y
_atom_site_fract_z
Tb1 Tb 0.000 0.000 0.000
Dy1 Dy 0.000 0.166 0.500
Dy2 Dy 0.000 0.333 0.000
Dy3 Dy 0.000 0.500 0.500
Tl1 Tl 0.249 0.333 0.749
Tl2 Tl 0.249 0.500 0.249
```

Calculated values
Magnetic moment = 0.00 Bohr magnetons per cell
Calculated volume = 655.6 Å³/cell

***

Most favorable first, least favorable last: <ii>, <i>

***

<i>
Compound: TbDy3Tl4
Source: Alexandria via LeMat-Bulk
Functional: PBE
Structure: relaxed

```
data_TbDy3Tl4
_space_group_name_H-M_alt 'P m n a'
_space_group_IT_number 53
_space_group_name_Hall '-P 2ac 2'
_cell_length_a 10.041
_cell_length_b 6.702
_cell_length_c 6.637
_cell_angle_alpha 90.00
_cell_angle_beta 90.00
_cell_angle_gamma 90.00
loop_
_atom_site_label
_atom_site_type_symbol
_atom_site_fract_x
_atom_site_fract_y
_atom_site_fract_z
Tb1 Tb 0.000 0.000 0.000
Dy1 Dy 0.000 0.500 0.000
Dy2 Dy 0.250 0.250 0.250
Tl1 Tl 0.000 0.000 0.500
Tl2 Tl 0.000 0.500 0.500
Tl3 Tl 0.250 0.250 0.750
```

Calculated values
Magnetic moment = 0.00 Bohr magnetons per cell
Calculated volume = 446.7 Å³/cell

***

<ii>
Compound: TbDy3Tl4
Source: Alexandria via LeMat-Bulk
Functional: PBE
Structure: relaxed

```
data_TbDy3Tl4
_space_group_name_H-M_alt 'P 4/m m m'
_space_group_IT_number 123
_space_group_name_Hall '-P 4 2'
_cell_length_a 3.795
_cell_length_b 3.795
_cell_length_c 15.159
_cell_angle_alpha 90.00
_cell_angle_beta 90.00
_cell_angle_gamma 90.00
loop_
_atom_site_label
_atom_site_type_symbol
_atom_site_fract_x
_atom_site_fract_y
_atom_site_fract_z
Tb1 Tb 0.000 0.000 0.000
Dy1 Dy 0.000 0.000 0.251
Dy2 Dy 0.000 0.000 0.500
Tl1 Tl 0.500 0.500 0.126
Tl2 Tl 0.500 0.500 0.375
```

Calculated values
Magnetic moment = 0.00 Bohr magnetons per cell
Calculated volume = 218.3 Å³/cell

***

Most favorable first, least favorable last: <ii>, <i>

***

<i>
Compound: Tb6DyTl2
Source: Alexandria via LeMat-Bulk
Functional: PBE
Structure: relaxed

```
data_Tb6DyTl2
_space_group_name_H-M_alt 'I -4 2 m'
_space_group_IT_number 121
_space_group_name_Hall 'I -4 2'
_cell_length_a 5.662
_cell_length_b 5.662
_cell_length_c 21.268
_cell_angle_alpha 90.00
_cell_angle_beta 90.00
_cell_angle_gamma 90.00
loop_
_atom_site_label
_atom_site_type_symbol
_atom_site_fract_x
_atom_site_fract_y
_atom_site_fract_z
Tb1 Tb 0.000 0.500 0.250
Tb2 Tb 0.192 0.192 0.068
Dy1 Dy 0.000 0.000 0.500
Tl1 Tl 0.000 0.000 0.191
```

Calculated values
Magnetic moment = 0.00 Bohr magnetons per cell
Calculated volume = 681.8 Å³/cell

***

<ii>
Compound: Tb6DyTl2
Source: Alexandria via LeMat-Bulk
Functional: PBE
Structure: relaxed

```
data_Tb6DyTl2
_space_group_name_H-M_alt 'C 1 2/m 1'
_space_group_IT_number 12
_space_group_name_Hall '-C 2y'
_cell_length_a 12.854
_cell_length_b 3.751
_cell_length_c 11.953
_cell_angle_alpha 90.00
_cell_angle_beta 108.03
_cell_angle_gamma 90.00
loop_
_atom_site_label
_atom_site_type_symbol
_atom_site_fract_x
_atom_site_fract_y
_atom_site_fract_z
Tb1 Tb 0.014 0.000 0.345
Tb2 Tb 0.185 0.500 0.876
Tb3 Tb 0.191 0.500 0.586
Dy1 Dy 0.000 0.000 0.000
Tl1 Tl 0.139 0.500 0.204
```

Calculated values
Magnetic moment = 0.00 Bohr magnetons per cell
Calculated volume = 548.1 Å³/cell

***

Most favorable first, least favorable last: <ii>, <i>

***

<i>
Compound: TbDy3Tl3
Source: Alexandria via LeMat-Bulk
Functional: PBE
Structure: relaxed

```
data_TbDy3Tl3
_space_group_name_H-M_alt 'P 63/m'
_space_group_IT_number 176
_space_group_name_Hall '-P 6c'
_cell_length_a 9.4133
_cell_length_b 9.4133
_cell_length_c 5.2293
_cell_angle_alpha 90.00
_cell_angle_beta 90.00
_cell_angle_gamma 120.00
loop_
_atom_site_label
_atom_site_type_symbol
_atom_site_fract_x
_atom_site_fract_y
_atom_site_fract_z
Tb1 Tb 0.3333 0.6667 0.2500
Dy1 Dy 0.0018 0.2343 0.2500
Tl1 Tl 0.0718 0.4498 0.7500
```

Calculated values
Magnetic moment = 0.00 Bohr magnetons per cell
Calculated volume = 401.3 Å³/cell

***

<ii>
Compound: TbDy3Tl3
Source: Alexandria via LeMat-Bulk
Functional: PBE
Structure: relaxed

```
data_TbDy3Tl3
_space_group_name_H-M_alt 'P 21 3'
_space_group_IT_number 198
_space_group_name_Hall 'P 2ac 2ab 3'
_cell_length_a 9.342
_cell_length_b 9.342
_cell_length_c 9.342
_cell_angle_alpha 90.00
_cell_angle_beta 90.00
_cell_angle_gamma 90.00
loop_
_atom_site_label
_atom_site_type_symbol
_atom_site_fract_x
_atom_site_fract_y
_atom_site_fract_z
Tb1 Tb 0.073 0.427 0.573
Dy1 Dy 0.074 0.574 0.926
Dy2 Dy 0.177 0.177 0.177
Dy3 Dy 0.177 0.823 0.323
Tl1 Tl 0.000 0.251 0.876
```

Calculated values
Magnetic moment = 0.00 Bohr magnetons per cell
Calculated volume = 815.4 Å³/cell

***

Most favorable first, least favorable last: <ii>, <i>

***

<i>
Compound: Tb4DyTl
Source: Alexandria via LeMat-Bulk
Functional: PBE
Structure: relaxed

```
data_Tb4DyTl
_space_group_name_H-M_alt 'C m c 21'
_space_group_IT_number 36
_space_group_name_Hall 'C 2c -2'
_cell_length_a 5.553
_cell_length_b 21.140
_cell_length_c 6.521
_cell_angle_alpha 90.00
_cell_angle_beta 90.00
_cell_angle_gamma 90.00
loop_
_atom_site_label
_atom_site_type_symbol
_atom_site_fract_x
_atom_site_fract_y
_atom_site_fract_z
Tb1 Tb 0.000 0.039 0.000
Tb2 Tb 0.000 0.182 0.824
Tb3 Tb 0.000 0.247 0.297
Tb4 Tb 0.000 0.435 0.176
Dy1 Dy 0.000 0.364 0.666
Tl1 Tl 0.000 0.105 0.425
```

Calculated values
Magnetic moment = 0.00 Bohr magnetons per cell
Calculated volume = 765.5 Å³/cell

***

<ii>
Compound: Tb4DyTl
Source: Alexandria via LeMat-Bulk
Functional: PBE
Structure: relaxed

```
data_Tb4DyTl
_space_group_name_H-M_alt 'P 4/m m m'
_space_group_IT_number 123
_space_group_name_Hall '-P 4 2'
_cell_length_a 3.592
_cell_length_b 3.592
_cell_length_c 14.303
_cell_angle_alpha 90.00
_cell_angle_beta 90.00
_cell_angle_gamma 90.00
loop_
_atom_site_label
_atom_site_type_symbol
_atom_site_fract_x
_atom_site_fract_y
_atom_site_fract_z
Tb1 Tb 0.000 0.000 0.150
Tb2 Tb 0.500 0.500 0.325
Dy1 Dy 0.000 0.000 0.500
Tl1 Tl 0.500 0.500 0.000
```

Calculated values
Magnetic moment = 0.00 Bohr magnetons per cell
Calculated volume = 184.5 Å³/cell

***

Most favorable first, least favorable last: <ii>, <i>